No. 1
DFT (meta-GGA SCAN) results for a PBEsol-optimized structure of PdAuSe2.

Unit cell a=3.758 b=3.758 c=22.071 alpha=90.00 beta=90.00 gamma=120.00
Atoms (fractional coordinates):
Pd 0.000 0.000 0.000
Pd 0.333 0.667 0.667
Pd 0.667 0.333 0.333
Au 0.000 0.000 0.500
Au 0.333 0.667 0.167
Au 0.667 0.333 0.833
Se 0.000 0.000 0.391
Se 0.000 0.000 0.609
Se 0.333 0.667 0.058
Se 0.333 0.667 0.275
Se 0.667 0.333 0.725
Se 0.667 0.333 0.942

Output
* raw formation energy: -178 meV per atom


No. 2
DFT (meta-GGA SCAN) results for a PBEsol-optimized structure of YTiHg2Ru.

Unit cell a=5.174 b=5.174 c=4.375 alpha=90.00 beta=90.00 gamma=90.00
Atoms (fractional coordinates):
Y 0.000 0.000 0.000
Ti 0.500 0.500 0.000
Hg 0.000 0.500 0.500
Hg 0.500 0.000 0.500
Ru 0.500 0.500 0.500

Output
* calculated formation energy: 0.09 eV per atom


Number 1: spin magnetization 0.00 μB/f.u.. Number 2: spin magnetization 0.75 μB/f.u..